Entry 1:
A plane-wave DFT calculation with PBE was carried out for crystalline Mg2ZrTaC at its relaxed geometry.

total energy: -21.24 eV per cell

a = 5.352 Å, b = 5.352 Å, c = 4.873 Å
α = 90.00°, β = 90.00°, γ = 90.00°
Space group P4/mmm (No. 123)
One atom of each set of equivalent atoms:
Mg: 0.000 0.500 0.000 x2
Zr: 0.000 0.000 0.500 x1
Ta: 0.000 0.000 0.000 x1
C: 0.500 0.500 0.500 x1

***

Entry 2:
A plane-wave DFT calculation with PBE was carried out for crystalline MgZr2TaC at its relaxed geometry.

total energy: -40.96 eV per cell

a = 4.630 Å, b = 4.630 Å, c = 4.293 Å
α = 90.00°, β = 90.00°, γ = 90.00°
Space group P4/mmm (No. 123)
One atom of each set of equivalent atoms:
Mg: 0.000 0.000 0.000 x1
Zr: 0.000 0.500 0.500 x2
Ta: 0.500 0.500 0.000 x1
C: 0.500 0.500 0.500 x1

***

Entry 3:
A plane-wave DFT calculation with PBE was carried out for crystalline TbMgC at its relaxed geometry.

total energy: -61.13 eV per cell

a = 3.625 Å, b = 3.625 Å, c = 19.509 Å
α = 90.00°, β = 90.00°, γ = 90.00°
Space group I4/mmm (No. 139)
One atom of each set of equivalent atoms:
Tb: 0.000 0.000 0.189 x4
Mg: 0.000 0.000 0.426 x4
C: 0.000 0.000 0.316 x4

***

Entry 4:
A plane-wave DFT calculation with PBE was carried out for crystalline Tb6Mg2C at its relaxed geometry.

total energy: -82.19 eV per cell

a = 12.215 Å, b = 7.072 Å, c = 7.081 Å
α = 90.00°, β = 125.40°, γ = 90.00°
Space group C2/m (No. 12)
One atom of each set of equivalent atoms:
Tb: 0.019 0.244 0.276 x8
Tb: 0.244 0.000 0.782 x4
Mg: 0.250 0.000 0.251 x4
C: 0.000 0.000 0.500 x2

***

The lowest total energy belongs to which entry?
Tb6Mg2C